# LiCePm2Au4 | Alexandria via LeMat-Bulk | PBE-GGA | optimized geometry
data_LiCePm2Au4
_chemical_formula_sum 'Li3 Ce3 Pm6 Au12'
_space_group_name_H-M_alt 'R -3 m'
_space_group_IT_number 166
_space_group_name_Hall '-R 3 2"'
_cell_length_a 5.1358
_cell_length_b 5.1358
_cell_length_c 25.0791
_cell_angle_alpha 90.00
_cell_angle_beta 90.00
_cell_angle_gamma 120.00
loop_
_atom_site_label
_atom_site_fract_x
_atom_site_fract_y
_atom_site_fract_z
Li1 0.0000 0.0000 0.0000
Ce1 0.0000 0.0000 0.5000
Pm1 0.0000 0.0000 0.2586
Au1 0.0000 0.0000 0.1293
Au2 0.0000 0.0000 0.3797
# **Formation enthalpy at 0 K**: -0.673 eV/atom



# LiCePrAu | Alexandria via LeMat-Bulk | PBE-GGA | optimized geometry
data_LiCePrAu
_chemical_formula_sum 'Li4 Ce4 Pr4 Au4'
_space_group_name_H-M_alt 'F -4 3 m'
_space_group_IT_number 216
_space_group_name_Hall 'F -4 2 3'
_cell_length_a 7.449
_cell_length_b 7.449
_cell_length_c 7.449
_cell_angle_alpha 90.00
_cell_angle_beta 90.00
_cell_angle_gamma 90.00
loop_
_atom_site_label
_atom_site_fract_x
_atom_site_fract_y
_atom_site_fract_z
Li1 0.000 0.000 0.000
Ce1 0.250 0.250 0.750
Pr1 0.250 0.250 0.250
Au1 0.000 0.000 0.500
# **Formation enthalpy at 0 K**: -0.223 eV/atom



# LiCePtAu | Alexandria via LeMat-Bulk | PBE-GGA | optimized geometry
data_LiCePtAu
_chemical_formula_sum 'Li4 Ce4 Pt4 Au4'
_space_group_name_H-M_alt 'F -4 3 m'
_space_group_IT_number 216
_space_group_name_Hall 'F -4 2 3'
_cell_length_a 6.890
_cell_length_b 6.890
_cell_length_c 6.890
_cell_angle_alpha 90.00
_cell_angle_beta 90.00
_cell_angle_gamma 90.00
loop_
_atom_site_label
_atom_site_fract_x
_atom_site_fract_y
_atom_site_fract_z
Li1 0.000 0.000 0.000
Ce1 0.000 0.000 0.500
Pt1 0.250 0.250 0.250
Au1 0.250 0.250 0.750
# **Formation enthalpy at 0 K**: -0.680 eV/atom



# Li4Ce3AuS8 | Alexandria via LeMat-Bulk | PBE-GGA | optimized geometry
data_Li4Ce3AuS8
_chemical_formula_sum 'Li8 Ce6 Au2 S16'
_space_group_name_H-M_alt 'C 1 2/m 1'
_space_group_IT_number 12
_cell_length_a 13.418
_cell_length_b 7.732
_cell_length_c 7.613
_cell_angle_alpha 90.00
_cell_angle_beta 121.62
_cell_angle_gamma 90.00
loop_
_space_group_symop_operation_xyz
'x,y,z'
'-x,-y,-z'
'-x,y,-z'
'x,-y,z'
'x+1/2,y+1/2,z'
'-x+1/2,-y+1/2,-z'
'-x+1/2,y+1/2,-z'
'x+1/2,-y+1/2,z'
loop_
_atom_site_label
_atom_site_fract_x
_atom_site_fract_y
_atom_site_fract_z
Li1 0.000 0.000 0.000
Li2 0.000 0.500 0.000
Li3 0.250 0.250 0.500
Ce1 0.000 0.000 0.500
Ce2 0.250 0.250 0.000
Au1 0.000 0.500 0.500
S1 0.007 0.260 0.755
S2 0.224 0.000 0.227
S3 0.246 0.000 0.733
# **DFT total energy**: -5.282 eV/atom



# LiCeSi2Au2 | Alexandria via LeMat-Bulk | PBE-GGA | optimized geometry
data_LiCeSi2Au2
_chemical_formula_sum 'Li1 Ce1 Si2 Au2'
_space_group_name_H-M_alt 'P -3 m 1'
_space_group_IT_number 164
_space_group_name_Hall '-P 3 2"'
_cell_length_a 4.3076
_cell_length_b 4.3076
_cell_length_c 6.8763
_cell_angle_alpha 90.00
_cell_angle_beta 90.00
_cell_angle_gamma 120.00
loop_
_atom_site_label
_atom_site_fract_x
_atom_site_fract_y
_atom_site_fract_z
Li1 0.0000 0.0000 0.0000
Ce1 0.0000 0.0000 0.5000
Si1 0.3333 0.6667 0.2281
Au1 0.3333 0.6667 0.8156
# **DFT total energy**: -4.801 eV/atom



# LiCeSiAu | Alexandria via LeMat-Bulk | PBE-GGA | optimized geometry
data_LiCeSiAu
_chemical_formula_sum 'Li4 Ce4 Si4 Au4'
_space_group_name_H-M_alt 'F -4 3 m'
_space_group_IT_number 216
_space_group_name_Hall 'F -4 2 3'
_cell_length_a 6.895
_cell_length_b 6.895
_cell_length_c 6.895
_cell_angle_alpha 90.00
_cell_angle_beta 90.00
_cell_angle_gamma 90.00
loop_
_atom_site_label
_atom_site_fract_x
_atom_site_fract_y
_atom_site_fract_z
Li1 0.000 0.000 0.000
Ce1 0.000 0.000 0.500
Si1 0.250 0.250 0.250
Au1 0.250 0.250 0.750
# **DFT total energy**: -4.606 eV/atom



# Li2CeSiAu4 | Alexandria via LeMat-Bulk | PBE-GGA | optimized geometry
data_Li2CeSiAu4
_chemical_formula_sum 'Li6 Ce3 Si3 Au12'
_space_group_name_H-M_alt 'R -3 m'
_space_group_IT_number 166
_space_group_name_Hall '-R 3 2"'
_cell_length_a 4.4365
_cell_length_b 4.4365
_cell_length_c 26.3519
_cell_angle_alpha 90.00
_cell_angle_beta 90.00
_cell_angle_gamma 120.00
loop_
_atom_site_label
_atom_site_fract_x
_atom_site_fract_y
_atom_site_fract_z
Li1 0.0000 0.0000 0.2352
Ce1 0.0000 0.0000 0.0000
Si1 0.0000 0.0000 0.5000
Au1 0.0000 0.0000 0.1302
Au2 0.0000 0.0000 0.3998
# **DFT total energy**: -3.997 eV/atom



# LiCeSnAu | Alexandria via LeMat-Bulk | PBE-GGA | optimized geometry
data_LiCeSnAu
_chemical_formula_sum 'Li4 Ce4 Sn4 Au4'
_space_group_name_H-M_alt 'F -4 3 m'
_space_group_IT_number 216
_space_group_name_Hall 'F -4 2 3'
_cell_length_a 7.052
_cell_length_b 7.052
_cell_length_c 7.052
_cell_angle_alpha 90.00
_cell_angle_beta 90.00
_cell_angle_gamma 90.00
loop_
_atom_site_label
_atom_site_fract_x
_atom_site_fract_y
_atom_site_fract_z
Li1 0.000 0.000 0.000
Ce1 0.250 0.250 0.750
Sn1 0.250 0.250 0.250
Au1 0.000 0.000 0.500
# **ΔE to the lowest computed polymorph**: 16 meV per atom
# **Formation enthalpy at 0 K**: -0.530 eV/atom



# LiCeSn2Au2 | Alexandria via LeMat-Bulk | PBE-GGA | optimized geometry
data_LiCeSn2Au2
_chemical_formula_sum 'Li1 Ce1 Sn2 Au2'
_space_group_name_H-M_alt 'P -3 m 1'
_space_group_IT_number 164
_space_group_name_Hall '-P 3 2"'
_cell_length_a 4.7227
_cell_length_b 4.7227
_cell_length_c 6.9648
_cell_angle_alpha 90.00
_cell_angle_beta 90.00
_cell_angle_gamma 120.00
loop_
_atom_site_label
_atom_site_fract_x
_atom_site_fract_y
_atom_site_fract_z
Li1 0.0000 0.0000 0.0000
Ce1 0.0000 0.0000 0.5000
Sn1 0.3333 0.6667 0.7772
Au1 0.3333 0.6667 0.2146
# **Formation enthalpy at 0 K**: -0.570 eV/atom



# LiCeSnAu | Alexandria via LeMat-Bulk | PBE-GGA | optimized geometry
data_LiCeSnAu
_chemical_formula_sum 'Li4 Ce4 Sn4 Au4'
_space_group_name_H-M_alt 'F -4 3 m'
_space_group_IT_number 216
_space_group_name_Hall 'F -4 2 3'
_cell_length_a 7.193
_cell_length_b 7.193
_cell_length_c 7.193
_cell_angle_alpha 90.00
_cell_angle_beta 90.00
_cell_angle_gamma 90.00
loop_
_atom_site_label
_atom_site_fract_x
_atom_site_fract_y
_atom_site_fract_z
Li1 0.000 0.000 0.000
Ce1 0.000 0.000 0.500
Sn1 0.250 0.250 0.250
Au1 0.250 0.250 0.750
# **ΔE to the lowest computed polymorph**: 0 meV per atom
# **Formation enthalpy at 0 K**: -0.546 eV/atom



# SrLiCe2Au4 | Alexandria via LeMat-Bulk | PBE-GGA | optimized geometry
data_SrLiCe2Au4
_chemical_formula_sum 'Sr3 Li3 Ce6 Au12'
_space_group_name_H-M_alt 'R -3 m'
_space_group_IT_number 166
_space_group_name_Hall '-R 3 2"'
_cell_length_a 5.1229
_cell_length_b 5.1229
_cell_length_c 26.0268
_cell_angle_alpha 90.00
_cell_angle_beta 90.00
_cell_angle_gamma 120.00
loop_
_atom_site_label
_atom_site_fract_x
_atom_site_fract_y
_atom_site_fract_z
Sr1 0.0000 0.0000 0.0000
Li1 0.0000 0.0000 0.5000
Ce1 0.0000 0.0000 0.2396
Au1 0.0000 0.0000 0.1234
Au2 0.0000 0.0000 0.3912
# **Formation enthalpy at 0 K**: -0.595 eV/atom



# Sr2LiCeAu6 | Alexandria via LeMat-Bulk | PBE-GGA | optimized geometry
data_Sr2LiCeAu6
_chemical_formula_sum 'Sr2 Li1 Ce1 Au6'
_space_group_name_H-M_alt 'P -1'
_space_group_IT_number 2
_cell_length_a 6.025
_cell_length_b 6.158
_cell_length_c 7.755
_cell_angle_alpha 67.54
_cell_angle_beta 68.68
_cell_angle_gamma 74.23
loop_
_space_group_symop_operation_xyz
'x,y,z'
'-x,-y,-z'
loop_
_atom_site_label
_atom_site_fract_x
_atom_site_fract_y
_atom_site_fract_z
Sr1 0.005 0.100 0.215
Li1 0.500 0.500 0.500
Ce1 0.500 0.500 0.000
Au1 0.012 0.434 0.712
Au2 0.360 0.201 0.414
Au3 0.420 0.114 0.830
# **Formation enthalpy at 0 K**: -0.548 eV/atom



| no. | volume (A^3/atom) |
| --- | --- |
| 1 | 23.87 |
| 2 | 25.83 |
| 3 | 20.44 |
| 4 | 21.02 |
| 5 | 18.42 |
| 6 | 20.49 |
| 7 | 18.72 |
| 8 | 21.92 |
| 9 | 22.42 |
| 10 | 23.26 |
| 11 | 24.65 |
| 12 | 24.47 |